A.
Below is an optimized crystal structure of Pr2Sm5Y4, with properties calculated at the PBE-GGA level.

The density of states at the Fermi level comes out at 1.50 states/eV per atom. The calculation puts the total moment at 0.00 μB/cell.

It has space group Immm (No. 71), with a = 3.5540 Å, b = 9.1904 Å, c = 23.6699 Å, α = 90.00°, β = 90.00° and γ = 90.00°. Symmetry generates all atoms from Pr at (0.0000, 0.0000, 0.2329), Sm at (0.0000, 0.1958, 0.3573), Sm at (0.0000, 0.5000, 0.0000), Y at (0.0000, 0.0000, 0.0977) and Y at (0.0000, 0.3120, 0.5000).



B.
Below is an optimized crystal structure of Pr2Sm5Y4, with properties calculated at the PBE-GGA level.

The density of states at the Fermi level comes out at 1.80 states/eV per atom. The calculation puts the total moment at 0.00 μB/cell.

It has space group C2/m (No. 12), with a = 16.7939 Å, b = 6.7712 Å, c = 6.7988 Å, α = 90.00°, β = 101.92° and γ = 90.00°. Symmetry generates all atoms from Pr at (0.1978, 0.0000, 0.3002), Sm at (0.0000, 0.0000, 0.5000), Sm at (0.0867, 0.2663, 0.9068), Y at (0.0909, 0.5000, 0.4138) and Y at (0.2421, 0.0000, 0.8098).



What are the relative energies? In kJ/mol of atoms: A 4.0; B 0.0.



A.
Below is an optimized crystal structure of Pr8Sm3Y2, with properties calculated at the PBE-GGA level.

The density of states at the Fermi level comes out at 1.48 states/eV per atom. The calculation puts the total moment at 0.00 μB/cell.

It has space group C2/m (No. 12), with a = 20.7050 Å, b = 7.7735 Å, c = 5.8535 Å, α = 90.00°, β = 90.01° and γ = 90.00°. Symmetry generates all atoms from Pr at (0.1061, 0.2070, 0.9999), Pr at (0.1333, 0.5000, 0.4997), Pr at (0.1734, 0.0000, 0.5002), Sm at (0.0000, 0.2143, 0.5000), Sm at (0.0000, 0.5000, 0.0000) and Y at (0.2410, 0.5000, 0.9996).



B.
Below is an optimized crystal structure of Pr8Sm3Y2, with properties calculated at the PBE-GGA level.

The density of states at the Fermi level comes out at 1.53 states/eV per atom. The calculation puts the total moment at 0.00 μB/cell.

It has space group C2/m (No. 12), with a = 14.8440 Å, b = 11.1995 Å, c = 5.8619 Å, α = 90.00°, β = 108.77° and γ = 90.00°. Symmetry generates all atoms from Pr at (0.0769, 0.0000, 0.2368), Pr at (0.1625, 0.5000, 0.6231), Pr at (0.1695, 0.2705, 0.1649), Sm at (0.0000, 0.2488, 0.5000), Sm at (0.0000, 0.5000, 0.0000) and Y at (0.1725, 0.0000, 0.8026).



What are the relative energies? In kJ/mol of atoms: A 2.9; B 0.0.



A.
Below is an optimized crystal structure of PrSm2Y4, with properties calculated at the PBE-GGA level.

The density of states at the Fermi level comes out at 1.59 states/eV per atom. The calculation puts the total moment at 0.00 μB/cell.

It has space group P2_1/m (No. 11), with a = 6.1284 Å, b = 6.6743 Å, c = 11.7601 Å, α = 90.00°, β = 104.28° and γ = 90.00°. Symmetry generates all atoms from Pr at (0.0413, 0.2500, 0.3664), Sm at (0.1607, 0.2500, 0.9509), Sm at (0.3996, 0.7500, 0.5138), Y at (0.1407, 0.2500, 0.6665), Y at (0.2775, 0.7500, 0.9189) and Y at (0.3398, 0.5079, 0.2098).



B.
Below is an optimized crystal structure of PrSm2Y4, with properties calculated at the PBE-GGA level.

The density of states at the Fermi level comes out at 1.46 states/eV per atom. The calculation puts the total moment at 0.00 μB/cell.

It has space group C2/m (No. 12), with a = 16.9202 Å, b = 3.5824 Å, c = 8.8653 Å, α = 90.00°, β = 119.73° and γ = 90.00°. Symmetry generates all atoms from Pr at (0.0000, 0.0000, 0.0000), Sm at (0.0692, 0.0000, 0.4288), Y at (0.1447, 0.5000, 0.8399) and Y at (0.2067, 0.5000, 0.2941).



What are the relative energies? In kJ/mol of atoms: A 8.3; B 0.0.



A.
Below is an optimized crystal structure of Pr2Sm6Y3, with properties calculated at the PBE-GGA level.

The density of states at the Fermi level comes out at 1.38 states/eV per atom. The calculation puts the total moment at 0.00 μB/cell.

It has space group I4/mmm (No. 139), with a = 4.8177 Å, b = 4.8177 Å, c = 33.8248 Å, α = 90.00°, β = 90.00° and γ = 90.00°. Symmetry generates all atoms from Pr at (0.0000, 0.0000, 0.0459), Sm at (0.0000, 0.0000, 0.1950), Sm at (0.0000, 0.5000, 0.1214), Y at (0.0000, 0.0000, 0.2976) and Y at (0.0000, 0.0000, 0.5000).



B.
Below is an optimized crystal structure of Pr2Sm6Y3, with properties calculated at the PBE-GGA level.

The density of states at the Fermi level comes out at 1.55 states/eV per atom. The calculation puts the total moment at 0.00 μB/cell.

It has space group C2/m (No. 12), with a = 6.2290 Å, b = 10.8030 Å, c = 11.8497 Å, α = 90.00°, β = 100.23° and γ = 90.00°. Symmetry generates all atoms from Pr at (0.0000, 0.1667, 0.0000), Sm at (0.2492, 0.5000, 0.7480), Sm at (0.2496, 0.1664, 0.7479), Y at (0.0000, 0.0000, 0.5000) and Y at (0.0000, 0.3347, 0.5000).



What are the relative energies? In kJ/mol of atoms: A 9.2; B 0.0.



A.
Below is an optimized crystal structure of Pr5Sm4Y2, with properties calculated at the PBE-GGA level.

The density of states at the Fermi level comes out at 1.39 states/eV per atom. The calculation puts the total moment at 0.00 μB/cell.

It has space group C2/m (No. 12), with a = 12.0288 Å, b = 7.2053 Å, c = 9.1820 Å, α = 90.00°, β = 102.83° and γ = 90.00°. Symmetry generates all atoms from Pr at (0.0000, 0.0000, 0.0000), Pr at (0.0562, 0.2790, 0.3215), Sm at (0.1577, 0.5000, 0.9980), Sm at (0.2094, 0.5000, 0.6550) and Y at (0.1668, 0.0000, 0.6549).



B.
Below is an optimized crystal structure of Pr5Sm4Y2, with properties calculated at the PBE-GGA level.

The density of states at the Fermi level comes out at 1.61 states/eV per atom. The calculation puts the total moment at 0.00 μB/cell.

It has space group C2/m (No. 12), with a = 24.4494 Å, b = 3.5270 Å, c = 8.9806 Å, α = 90.00°, β = 97.31° and γ = 90.00°. Symmetry generates all atoms from Pr at (0.0000, 0.0000, 0.0000), Pr at (0.1394, 0.5000, 0.1158), Pr at (0.2307, 0.5000, 0.8195), Sm at (0.0457, 0.5000, 0.3624), Sm at (0.1762, 0.0000, 0.4708) and Y at (0.0912, 0.5000, 0.7315).



What are the relative energies? In kJ/mol of atoms: A 1.3; B 0.0.



A.
Below is an optimized crystal structure of PrSm2Y3, with properties calculated at the PBE-GGA level.

The density of states at the Fermi level comes out at 1.59 states/eV per atom. The calculation puts the total moment at 0.00 μB/cell.

It has space group C2/c (No. 15), with a = 9.0642 Å, b = 9.9359 Å, c = 9.0568 Å, α = 90.00°, β = 101.60° and γ = 90.00°. Symmetry generates all atoms from Pr at (0.0000, 0.0869, 0.2500), Sm at (0.1234, 0.2525, 0.6258), Y at (0.0000, 0.4192, 0.2500) and Y at (0.2475, 0.0832, 0.9980).



B.
Below is an optimized crystal structure of PrSm2Y3, with properties calculated at the PBE-GGA level.

The density of states at the Fermi level comes out at 1.55 states/eV per atom. The calculation puts the total moment at 0.00 μB/cell.

It has space group Cmc2_1 (No. 36), with a = 9.5865 Å, b = 13.3271 Å, c = 6.4229 Å, α = 90.00°, β = 90.00° and γ = 90.00°. Symmetry generates all atoms from Pr at (0.0000, 0.1764, 0.0000), Sm at (0.1810, 0.4420, 0.2229), Y at (0.0000, 0.0813, 0.4741) and Y at (0.1821, 0.3053, 0.6768).



What are the relative energies? In kJ/mol of atoms: A 0.0; B 14.2.